! Pm2TmIn (PBE-GGA, relaxed); values from VASP
! E above lowest polymorph = 148 meV/atom
! formation energy = -0.120 eV/atom
&SYSTEM
  ibrav = 0, nat = 4, ntyp = 3
/
ATOMIC_SPECIES
Pm 145.00 Pm.upf
Tm 168.93 Tm.upf
In 114.82 In.upf
ATOMIC_POSITIONS crystal
Pm 0.079 0.079 0.762
Pm 0.254 0.254 0.238
Tm 0.500 0.500 0.500
In 0.666 0.666 0.001
CELL_PARAMETERS angstrom
3.646 0.000 0.000
1.823 3.157 0.000
1.823 1.052 10.975